1.
This record from the Alexandria database describes a relaxed TlInBiPb crystal. The functional is PBE.

The structure belongs to space group F-43m (No. 216); the cell edges are 7.9482, 7.9482 and 7.9482 Å and the angles 90.00°, 90.00° and 90.00°. The asymmetric unit holds Tl at (0.0000, 0.0000, 0.0000), In at (0.2500, 0.2500, 0.2500), Bi at (0.0000, 0.0000, 0.5000) and Pb at (0.2500, 0.2500, 0.7500).

The energy of formation from the pure elements comes out at 0.025 eV per atom. The value obtained for the magnetic moment is 0.00 Bohr magnetons per cell. As for the total energy: -3.15 eV/atom.

***

2.
This record from the Alexandria database describes a relaxed Tl2InBiPb6 crystal. The functional is PBE.

The structure belongs to space group P2_1/c (No. 14); the cell edges are 7.7582, 9.3241 and 11.4288 Å and the angles 90.00°, 128.10° and 90.00°. The asymmetric unit holds Tl at (0.1963, 0.1152, 0.1376), In at (0.0000, 0.0000, 0.5000), Bi at (0.5000, 0.0000, 0.0000), Pb at (0.0112, 0.6426, 0.7406), Pb at (0.3286, 0.7360, 0.6205) and Pb at (0.4036, 0.1467, 0.5215).

The energy of formation from the pure elements comes out at 0.084 eV per atom. The value obtained for the magnetic moment is 0.00 Bohr magnetons per cell. As for the total energy: -3.28 eV/atom.

***

3.
This record from the Alexandria database describes a relaxed Tl2InBiPb5 crystal. The functional is PBE.

The structure belongs to space group P4/mbm (No. 127); the cell edges are 8.1516, 8.1516 and 8.9196 Å and the angles 90.00°, 90.00° and 90.00°. The asymmetric unit holds Tl at (0.1278, 0.3722, 0.0000), In at (0.0000, 0.5000, 0.5000), Bi at (0.0000, 0.0000, 0.5000), Pb at (0.0000, 0.0000, 0.0000) and Pb at (0.2270, 0.7270, 0.3024).

The energy of formation from the pure elements comes out at 0.127 eV per atom. The value obtained for the magnetic moment is 0.00 Bohr magnetons per cell. As for the total energy: -3.19 eV/atom.

***

4.
This record from the Alexandria database describes a relaxed TlIn2Bi2Pb crystal. The functional is PBE.

The structure belongs to space group Pmc2_1 (No. 26); the cell edges are 5.1283, 10.3726 and 7.0805 Å and the angles 90.00°, 90.00° and 90.00°. The asymmetric unit holds Tl at (0.0000, 0.0233, 0.0000), In at (0.0000, 0.3383, 0.3712), In at (0.5000, 0.4780, 0.0994), Bi at (0.0000, 0.3510, 0.8183), Bi at (0.5000, 0.1721, 0.2665) and Pb at (0.5000, 0.1632, 0.7281).

The energy of formation from the pure elements comes out at 0.000 eV per atom. The value obtained for the magnetic moment is 0.00 Bohr magnetons per cell. As for the total energy: -3.22 eV/atom.

***

> What is the energy of formation from the pure elements in the second record?

0.084 eV per atom

***

> Which formula does entry 3 have?

Tl2InBiPb5